This record from Alexandria describes a relaxed Mg3ScSn crystal. The functional is GGA-PBE.

Cell: 5.514 5.514 5.514 Å, 90.00 90.00 90.00°
Positions (direct):
Mg1 0.000 0.000 0.500
Mg2 0.000 0.500 0.000
Mg3 0.500 0.000 0.000
Sc1 0.000 0.000 0.000
Sn1 0.500 0.500 0.500

E_tot, eV per cell: -10.68
Energy above the most stable polymorph in this dataset, eV/atom: 0.401